The following is a DFT calculation (PBE with a Hubbard U) of Tm2BiMoO8 after structural relaxation.

The calculation puts the density at 7.614 g cm⁻³. The volume is 14.0 A^3/atom. The total energy comes out at -7.25 eV per atom. As for the space group: Cmmm, No. 65.

POSCAR file:
```
Tm2BiMoO8
1.0
4.986 -0.083 -0.003
-0.063 4.989 -0.005
0.004 0.007 6.758
Tm Bi Mo O
2 1 1 8
direct
0.500 0.500 0.758
0.500 0.500 0.242
0.000 0.000 0.500
0.000 0.000 0.000
0.185 0.815 0.217
0.721 0.720 0.000
0.815 0.185 0.217
0.815 0.185 0.783
0.279 0.280 0.000
0.185 0.815 0.783
0.689 0.689 0.500
0.311 0.311 0.500
```